Entry from Alexandria via LeMat-Bulk: crystalline Ho4GaPbN at its relaxed geometry (GGA-PBE).

Computed properties:
formation energy (no corrections): -0.83 eV per atom
crystal system: orthorhombic
total magnetization: 0.0 μB per cell

Cell and atoms, written as CIF:
```
data_Ho4GaPbN
_cell_length_a 6.575
_cell_length_b 15.780
_cell_length_c 6.582
_cell_angle_alpha 90.00
_cell_angle_beta 90.00
_cell_angle_gamma 90.00
_space_group_name_H-M_alt 'C m c m'
_space_group_IT_number 63
_space_group_name_Hall '-C 2c 2'
loop_
_atom_site_label
_atom_site_type_symbol
_atom_site_fract_x
_atom_site_fract_y
_atom_site_fract_z
_atom_site_occupancy
Ho1 Ho 0.000 0.080 0.250 1
Ho2 Ho 0.000 0.408 0.250 1
Ho3 Ho 0.250 0.250 0.000 1
Ga1 Ga 0.000 0.115 0.750 1
Pb1 Pb 0.000 0.395 0.750 1
N1 N 0.000 0.253 0.250 1
```